Record 1
Density functional theory data (PBE-GGA) for a relaxed structure of Sm2S2Cl.

The calculation puts the excess energy over the best structure of this formula in the dataset at 34.6 kJ/mol of formula units. Its magnetization is 0.0 μB per formula unit. The value obtained for the density of states at the Fermi level is 4.3 states/eV/cell. The value obtained for the uncorrected formation energy is -1978 meV/atom.

The space group is Immm (No. 71) and the conventional cell measures 4.084, 5.545 and 12.151 Å, with angles of 90.00, 90.00 and 90.00 degrees. The asymmetric unit holds Sm at (0.000, 0.000, 0.176), S at (0.000, 0.500, 0.172) and Cl at (0.000, 0.500, 0.500).

Record 2
Density functional theory data (PBE-GGA) for a relaxed structure of Sm2S2Cl.

The calculation puts the excess energy over the best structure of this formula in the dataset at 0.0 kJ/mol of formula units. Its magnetization is 0.0 μB per formula unit. The value obtained for the density of states at the Fermi level is 3.4 states/eV/cell. The value obtained for the uncorrected formation energy is -2050 meV/atom.

The space group is Immm (No. 71) and the conventional cell measures 3.777, 4.100 and 15.905 Å, with angles of 90.00, 90.00 and 90.00 degrees. The asymmetric unit holds Sm at (0.000, 0.000, 0.148), S at (0.000, 0.000, 0.325) and Cl at (0.000, 0.500, 0.500).

Record 3
Density functional theory data (PBE-GGA) for a relaxed structure of Sm2S3Cl.

Its magnetization is 0.0 μB per formula unit. The value obtained for the density of states at the Fermi level is 34.9 states/eV/cell. The value obtained for the uncorrected formation energy is -1609 meV/atom.

The space group is R-3c (No. 167, hexagonal axes) and the conventional cell measures 7.4388, 7.4388 and 18.7100 Å, with angles of 90.00, 90.00 and 120.00 degrees. The asymmetric unit holds Sm at (0.0000, 0.0000, 0.1449), S at (0.0000, 0.2764, 0.2500) and Cl at (0.0000, 0.0000, 0.0000).

Record 4
Density functional theory data (PBE-GGA) for a relaxed structure of Sm2SCl.

The calculation puts the excess energy over the best structure of this formula in the dataset at 0.0 kJ/mol of formula units. Its magnetization is 0.0 μB per formula unit. The value obtained for the density of states at the Fermi level is 3.9 states/eV/cell. The value obtained for the uncorrected formation energy is -1668 meV/atom.

The space group is R-3m (No. 166, hexagonal axes) and the conventional cell measures 3.9130, 3.9130 and 21.5811 Å, with angles of 90.00, 90.00 and 120.00 degrees. The asymmetric unit holds Sm at (0.0000, 0.0000, 0.2371), S at (0.0000, 0.0000, 0.5000) and Cl at (0.0000, 0.0000, 0.0000).